# LaNdGeCl2

An optimized crystal structure of LaNdGeCl2 (GGA-PBE, OQMD).

Results
- symmetry = P3m1 (156)
- uncorrected energy (eV per atom) = -5.2785
- density (g/cm3) = 4.5

Unit cell a=4.312 b=4.312 c=9.883 alpha=90.00 beta=90.00 gamma=120.00
Element x y z (fractional)
La 0.000 0.000 0.000
Nd 0.333 0.667 0.654
Ge 0.667 0.333 0.824
Cl 0.000 0.000 0.498
Cl 0.333 0.667 0.159